# 1
A plane-wave DFT calculation with PBE was carried out for a geometry-optimized TbTl2Ag structure.

Cell: 4.7672 4.7672 9.3429 Å, 104.78 104.78 90.00°
Atoms (fractional coordinates):
Tb (0.1314, 0.1314, 0.2629)
Tb (0.8686, 0.8686, 0.7371)
Ag (0.7500, 0.2500, 0.5000)
Ag (0.2500, 0.7500, 0.5000)
Tl (0.5000, 0.0000, 0.0000)
Tl (0.6457, 0.6457, 0.2913)
Tl (0.0000, 0.5000, 0.0000)
Tl (0.3543, 0.3543, 0.7087)

Energy above the most stable polymorph in this dataset   0.000 eV per formula unit
Total energy   -3.291 eV per atom



# 2
A plane-wave DFT calculation with PBE was carried out for a geometry-optimized CeTm2Sc3P6 structure.

Cell: 6.7175 6.7175 6.6958 Å, 99.63 99.63 119.99°
Atoms (fractional coordinates):
Tm (0.6667, 0.3333, 0.0000)
P (0.0878, 0.4231, 0.2636)
P (0.2479, 0.2479, 0.7380)
P (0.7521, 0.7521, 0.2620)
P (0.5769, 0.9122, 0.7364)
Sc (0.5000, 0.5000, 0.5000)
Sc (0.1662, 0.8338, 0.5000)
P (0.9122, 0.5769, 0.7364)
Tm (0.3333, 0.6667, 0.0000)
P (0.4231, 0.0878, 0.2636)
Sc (0.8338, 0.1662, 0.5000)
Ce (0.0000, 0.0000, 0.0000)

Total energy   -7.051 eV per atom



# 3
A plane-wave DFT calculation with PBE was carried out for a geometry-optimized Sc4CdGa3 structure.

Cell: 4.8089 6.8055 9.6200 Å, 90.00 90.00 90.00°
Atoms (fractional coordinates):
Ga (0.5010, 0.0000, 0.2500)
Sc (0.5000, 0.7576, 0.5000)
Sc (0.9991, 0.7576, 0.7500)
Cd (0.0000, 0.5000, 0.5000)
Sc (0.9991, 0.2424, 0.7500)
Ga (0.5009, 0.5000, 0.2500)
Sc (0.0009, 0.7576, 0.2500)
Ga (0.0000, 0.0000, 0.0000)
Ga (0.0000, 0.0000, 0.5000)
Ga (0.4991, 0.5000, 0.7500)
Sc (0.5000, 0.2424, 0.5000)
Cd (0.0000, 0.5000, 0.0000)
Sc (0.5000, 0.7576, 0.0000)
Sc (0.5000, 0.2424, 0.0000)
Sc (0.0009, 0.2424, 0.2500)
Ga (0.4990, 0.0000, 0.7500)

Total energy   -4.935 eV per atom



- Which of these has the highest total energy?
  TbTl2Ag



- total energy of number 2 (CeTm2Sc3P6)?
  -7.051 eV per atom



What did the third record say?
A plane-wave DFT calculation with PBE was carried out for a geometry-optimized Sc4CdGa3 structure.

Cell: 4.8089 6.8055 9.6200 Å, 90.00 90.00 90.00°
Atoms (fractional coordinates):
Ga (0.5010, 0.0000, 0.2500)
Sc (0.5000, 0.7576, 0.5000)
Sc (0.9991, 0.7576, 0.7500)
Cd (0.0000, 0.5000, 0.5000)
Sc (0.9991, 0.2424, 0.7500)
Ga (0.5009, 0.5000, 0.2500)
Sc (0.0009, 0.7576, 0.2500)
Ga (0.0000, 0.0000, 0.0000)
Ga (0.0000, 0.0000, 0.5000)
Ga (0.4991, 0.5000, 0.7500)
Sc (0.5000, 0.2424, 0.5000)
Cd (0.0000, 0.5000, 0.0000)
Sc (0.5000, 0.7576, 0.0000)
Sc (0.5000, 0.2424, 0.0000)
Sc (0.0009, 0.2424, 0.2500)
Ga (0.4990, 0.0000, 0.7500)

Total energy   -4.935 eV per atom